First-principles (GGA-PBE) data for a relaxed ZnIr2Cl crystal, as listed in the Alexandria database.

a b c (Å): 4.7241 4.7241 4.7241
angles (deg): 129.80 129.80 73.73
Fractional coordinates of all 4 atoms:
1 Zn 0.2500 0.7500 0.5000
2 Ir 0.5000 0.5000 0.0000
3 Ir 0.0000 0.0000 0.0000
4 Cl 0.7500 0.2500 0.5000

Calculated values
* energy relative to the lowest polymorph listed for this composition: 704 meV per atom
* calculated total energy: -0.32070 Ry per atom
* DOS(E_F): 6.012 states/eV per cell